Here is an optimized crystal structure of PmHo3Co2 from Alexandria via LeMat-Bulk. Energies are from PBE.

Values from the calculation:
Fermi-level density of states: 0.9102 states/eV per atom
Energy of formation: -0.082 eV/atom
Relative energy among the computed polymorphs: 55 meV per atom
Total energy: -5.5313 eV per atom

Structure (POSCAR):
```
PmHo3Co2
1.0
8.048 -1.991 0.000
8.048 1.991 0.000
-6.194 0.000 9.647
Pm Ho Co
2 6 4
direct
0.063 0.063 0.192
0.937 0.937 0.808
0.190 0.190 0.563
0.310 0.310 0.941
0.436 0.436 0.310
0.564 0.564 0.690
0.690 0.690 0.059
0.810 0.810 0.437
0.126 0.126 0.873
0.375 0.375 0.618
0.625 0.625 0.382
0.874 0.874 0.127
```